## A
{"formula": "Bi3WF", "functional": "PBE with a Hubbard U", "state": "relaxed", "crystal_system": "cubic", "volume_a3_per_cell": 157.2, "cell": [[5.397, 0.000, 0.000], [0.000, 5.397, 0.000], [0.000, 0.000, 5.397]], "species": ["W", "Bi", "F", "Bi", "Bi"], "frac_coords": [[0.000, 0.000, 0.000], [0.000, 0.500, 0.000], [0.500, 0.500, 0.500], [0.500, 0.000, 0.000], [0.000, 0.000, 0.500]]}


## B
{"formula": "Bi3WF", "functional": "PBE with a Hubbard U", "state": "relaxed", "crystal_system": "cubic", "volume_a3_per_cell": 128.5, "cell": [[-4.525, -1.211, 1.876], [1.736, -4.574, 1.235], [1.404, 1.753, 4.519]], "species": ["Bi", "Bi", "Bi", "F", "W"], "frac_coords": [[0.000, 0.500, 0.000], [0.500, 0.000, 0.000], [0.000, 0.000, 0.500], [0.000, 0.000, 0.000], [0.500, 0.500, 0.500]]}


Verdict on stability: B comes out on top.


## A
{"formula": "BiW3F", "functional": "PBE with a Hubbard U", "state": "relaxed", "crystal_system": "cubic", "volume_a3_per_cell": 194.9, "cell": [[-4.940, 2.893, -0.917], [-1.191, -3.460, -4.497], [-2.791, -3.643, 3.543]], "species": ["W", "Bi", "W", "F", "W"], "frac_coords": [[0.500, 0.000, 0.000], [0.000, 0.000, 0.000], [0.000, 0.500, 0.000], [0.500, 0.500, 0.500], [0.000, 0.000, 0.500]]}


## B
{"formula": "BiW3F", "functional": "PBE with a Hubbard U", "state": "relaxed", "crystal_system": "cubic", "volume_a3_per_cell": 91.6, "cell": [[4.507, 0.000, 0.000], [0.000, 4.507, 0.000], [0.000, 0.000, 4.507]], "species": ["W", "Bi", "F", "W", "W"], "frac_coords": [[0.000, 0.000, 0.500], [0.500, 0.500, 0.500], [0.000, 0.000, 0.000], [0.000, 0.500, 0.000], [0.500, 0.000, 0.000]]}


Verdict on stability: B comes out on top.